Entry 1:
# Sr2Sn2Pt (PBE, optimized geometry)
# DOS(E_F) (states/eV per atom): 0.32
# Energy (eV/atom): -4.1201
# Energy relative to the lowest polymorph listed for this composition (meV/atom): 142
# M_tot (μB/f.u.): 0.0
# Energy of formation from the pure elements (meV per atom): -638
data_Sr2Sn2Pt
_chemical_formula_sum 'Sr4 Sn4 Pt2'
_space_group_name_H-M_alt 'P 4/m b m'
_space_group_IT_number 127
_space_group_name_Hall '-P 4 2ab'
_cell_length_a 7.354
_cell_length_b 7.354
_cell_length_c 5.222
_cell_angle_alpha 90.00
_cell_angle_beta 90.00
_cell_angle_gamma 90.00
loop_
_atom_site_label
_atom_site_type_symbol
_atom_site_fract_x
_atom_site_fract_y
_atom_site_fract_z
Sr1 Sr 0.168 0.332 0.000
Sn1 Sn 0.144 0.644 0.500
Pt1 Pt 0.000 0.000 0.500

***

Entry 2:
# SrSnPt3 (PBE, optimized geometry)
# DOS(E_F) (states/eV per atom): 1.28
# Energy (eV/atom): -3.5360
# Energy relative to the lowest polymorph listed for this composition (meV/atom): 1802
# M_tot (μB/f.u.): 0.0
# Energy of formation from the pure elements (meV per atom): 1225
data_SrSnPt3
_chemical_formula_sum 'Sr1 Sn1 Pt3'
_space_group_name_H-M_alt 'P m -3 m'
_space_group_IT_number 221
_space_group_name_Hall '-P 4 2 3'
_cell_length_a 5.234
_cell_length_b 5.234
_cell_length_c 5.234
_cell_angle_alpha 90.00
_cell_angle_beta 90.00
_cell_angle_gamma 90.00
loop_
_atom_site_label
_atom_site_type_symbol
_atom_site_fract_x
_atom_site_fract_y
_atom_site_fract_z
Sr1 Sr 0.000 0.000 0.000
Sn1 Sn 0.500 0.500 0.500
Pt1 Pt 0.000 0.000 0.500

***

Entry 3:
# Sr2Sn3Pt (PBE, optimized geometry)
# DOS(E_F) (states/eV per atom): 0.43
# Energy (eV/atom): -4.2423
# Energy relative to the lowest polymorph listed for this composition (meV/atom): 0
# M_tot (μB/f.u.): 0.0
# Energy of formation from the pure elements (meV per atom): -673
data_Sr2Sn3Pt
_chemical_formula_sum 'Sr4 Sn6 Pt2'
_space_group_name_H-M_alt 'C 1 m 1'
_space_group_IT_number 8
_space_group_name_Hall 'C -2y'
_cell_length_a 11.482
_cell_length_b 4.946
_cell_length_c 8.028
_cell_angle_alpha 90.00
_cell_angle_beta 132.66
_cell_angle_gamma 90.00
loop_
_atom_site_label
_atom_site_type_symbol
_atom_site_fract_x
_atom_site_fract_y
_atom_site_fract_z
Sr1 Sr 0.000 0.000 0.000
Sr2 Sr 0.115 0.000 0.609
Sn1 Sn 0.230 0.500 0.387
Sn2 Sn 0.381 0.000 0.202
Sn3 Sn 0.436 0.000 0.646
Pt1 Pt 0.240 0.500 0.047

***

Entry 4:
# Sr6Sn12Pt11 (PBE, optimized geometry)
# DOS(E_F) (states/eV per atom): 0.45
# Energy (eV/atom): -5.0979
# M_tot (μB/f.u.): 0.0
# Energy of formation from the pure elements (meV per atom): -802
data_Sr6Sn12Pt11
_chemical_formula_sum 'Sr24 Sn48 Pt44'
_space_group_name_H-M_alt 'I b a m'
_space_group_IT_number 72
_space_group_name_Hall '-I 2 2c'
_cell_length_a 6.644
_cell_length_b 20.923
_cell_length_c 20.015
_cell_angle_alpha 90.00
_cell_angle_beta 90.00
_cell_angle_gamma 90.00
loop_
_atom_site_label
_atom_site_type_symbol
_atom_site_fract_x
_atom_site_fract_y
_atom_site_fract_z
Sr1 Sr 0.229 0.121 0.000
Sr2 Sr 0.231 0.377 0.164
Sn1 Sn 0.000 0.250 0.250
Sn2 Sn 0.013 0.250 0.418
Sn3 Sn 0.204 0.447 0.000
Sn4 Sn 0.207 0.056 0.176
Pt1 Pt 0.000 0.000 0.075
Pt2 Pt 0.000 0.500 0.105
Pt3 Pt 0.000 0.500 0.250
Pt4 Pt 0.236 0.318 0.000
Pt5 Pt 0.243 0.184 0.166

***

Entry 5:
# Sr3Sn4Pt2 (PBE, optimized geometry)
# DOS(E_F) (states/eV per atom): 0.53
# Energy (eV/atom): -4.4322
# Energy relative to the lowest polymorph listed for this composition (meV/atom): 0
# M_tot (μB/f.u.): 0.0
# Energy of formation from the pure elements (meV per atom): -750
data_Sr3Sn4Pt2
_chemical_formula_sum 'Sr6 Sn8 Pt4'
_space_group_name_H-M_alt 'C 1 2/m 1'
_space_group_IT_number 12
_space_group_name_Hall '-C 2y'
_cell_length_a 11.560
_cell_length_b 4.860
_cell_length_c 9.404
_cell_angle_alpha 90.00
_cell_angle_beta 106.31
_cell_angle_gamma 90.00
loop_
_atom_site_label
_atom_site_type_symbol
_atom_site_fract_x
_atom_site_fract_y
_atom_site_fract_z
Sr1 Sr 0.000 0.000 0.000
Sr2 Sr 0.118 0.500 0.690
Sn1 Sn 0.119 0.000 0.425
Sn2 Sn 0.216 0.500 0.074
Pt1 Pt 0.169 0.500 0.334

***

Entry 6:
# Sr3Sn7Pt2 (PBE, optimized geometry)
# DOS(E_F) (states/eV per atom): 0.49
# Energy (eV/atom): -4.3816
# M_tot (μB/f.u.): 0.0
# Energy of formation from the pure elements (meV per atom): -619
data_Sr3Sn7Pt2
_chemical_formula_sum 'Sr3 Sn7 Pt2'
_space_group_name_H-M_alt 'P 1 2/m 1'
_space_group_IT_number 10
_space_group_name_Hall '-P 2y'
_cell_length_a 4.774
_cell_length_b 4.781
_cell_length_c 14.632
_cell_angle_alpha 90.00
_cell_angle_beta 99.25
_cell_angle_gamma 90.00
loop_
_atom_site_label
_atom_site_type_symbol
_atom_site_fract_x
_atom_site_fract_y
_atom_site_fract_z
Sr1 Sr 0.000 0.000 0.000
Sr2 Sr 0.318 0.500 0.638
Sn1 Sn 0.086 0.500 0.170
Sn2 Sn 0.222 0.000 0.443
Sn3 Sn 0.415 0.000 0.830
Sn4 Sn 0.500 0.500 0.000
Pt1 Pt 0.129 0.000 0.261

***

Entry 7:
# Sr3Sn4Pt2 (PBE, optimized geometry)
# DOS(E_F) (states/eV per atom): 0.26
# Energy (eV/atom): -4.4218
# Energy relative to the lowest polymorph listed for this composition (meV/atom): 10
# M_tot (μB/f.u.): 0.0
# Energy of formation from the pure elements (meV per atom): -740
data_Sr3Sn4Pt2
_chemical_formula_sum 'Sr6 Sn8 Pt4'
_space_group_name_H-M_alt 'C 1 2/m 1'
_space_group_IT_number 12
_space_group_name_Hall '-C 2y'
_cell_length_a 11.677
_cell_length_b 4.793
_cell_length_c 9.449
_cell_angle_alpha 90.00
_cell_angle_beta 111.29
_cell_angle_gamma 90.00
loop_
_atom_site_label
_atom_site_type_symbol
_atom_site_fract_x
_atom_site_fract_y
_atom_site_fract_z
Sr1 Sr 0.000 0.000 0.000
Sr2 Sr 0.180 0.500 0.628
Sn1 Sn 0.021 0.000 0.348
Sn2 Sn 0.239 0.500 0.098
Pt1 Pt 0.097 0.500 0.270

***

Entry 8:
# Sr2SnPt2 (PBE, optimized geometry)
# DOS(E_F) (states/eV per atom): 0.66
# Energy (eV/atom): -4.5288
# M_tot (μB/f.u.): 0.0
# Energy of formation from the pure elements (meV per atom): -639
data_Sr2SnPt2
_chemical_formula_sum 'Sr4 Sn2 Pt4'
_space_group_name_H-M_alt 'I 4/m m m'
_space_group_IT_number 139
_space_group_name_Hall '-I 4 2'
_cell_length_a 6.014
_cell_length_b 6.014
_cell_length_c 7.884
_cell_angle_alpha 90.00
_cell_angle_beta 90.00
_cell_angle_gamma 90.00
loop_
_atom_site_label
_atom_site_type_symbol
_atom_site_fract_x
_atom_site_fract_y
_atom_site_fract_z
Sr1 Sr 0.000 0.500 0.250
Sn1 Sn 0.000 0.000 0.000
Pt1 Pt 0.000 0.000 0.334

***

Entry 9:
# SrSn2Pt (PBE, optimized geometry)
# DOS(E_F) (states/eV per atom): 0.56
# Energy (eV/atom): -4.3032
# M_tot (μB/f.u.): 0.0
# Energy of formation from the pure elements (meV per atom): -371
data_SrSn2Pt
_chemical_formula_sum 'Sr4 Sn8 Pt4'
_space_group_name_H-M_alt 'I -4 2 d'
_space_group_IT_number 122
_space_group_name_Hall 'I -4 2bw'
_cell_length_a 5.031
_cell_length_b 5.031
_cell_length_c 18.918
_cell_angle_alpha 90.00
_cell_angle_beta 90.00
_cell_angle_gamma 90.00
loop_
_atom_site_label
_atom_site_type_symbol
_atom_site_fract_x
_atom_site_fract_y
_atom_site_fract_z
Sr1 Sr 0.000 0.000 0.000
Sn1 Sn 0.136 0.250 0.625
Pt1 Pt 0.000 0.000 0.500

***

Entry 10:
# Sr2Sn3Pt4 (PBE, optimized geometry)
# DOS(E_F) (states/eV per atom): 0.49
# Energy (eV/atom): -5.1435
# M_tot (μB/f.u.): 0.0
# Energy of formation from the pure elements (meV per atom): -751
data_Sr2Sn3Pt4
_chemical_formula_sum 'Sr8 Sn12 Pt16'
_space_group_name_H-M_alt 'C m c e'
_space_group_IT_number 64
_space_group_name_Hall '-C 2ac 2'
_cell_length_a 6.237
_cell_length_b 16.627
_cell_length_c 7.680
_cell_angle_alpha 90.00
_cell_angle_beta 90.00
_cell_angle_gamma 90.00
loop_
_atom_site_label
_atom_site_type_symbol
_atom_site_fract_x
_atom_site_fract_y
_atom_site_fract_z
Sr1 Sr 0.000 0.099 0.092
Sn1 Sn 0.000 0.000 0.500
Sn2 Sn 0.250 0.238 0.750
Pt1 Pt 0.000 0.172 0.483
Pt2 Pt 0.250 0.071 0.750

***

Entry 11:
# Sr3Sn2Pt2 (PBE, optimized geometry)
# DOS(E_F) (states/eV per atom): 0.51
# Energy (eV/atom): -4.4297
# M_tot (μB/f.u.): 0.0
# Energy of formation from the pure elements (meV per atom): -839
data_Sr3Sn2Pt2
_chemical_formula_sum 'Sr12 Sn8 Pt8'
_space_group_name_H-M_alt 'P b c m'
_space_group_IT_number 57
_space_group_name_Hall '-P 2c 2b'
_cell_length_a 6.154
_cell_length_b 8.911
_cell_length_c 14.304
_cell_angle_alpha 90.00
_cell_angle_beta 90.00
_cell_angle_gamma 90.00
loop_
_atom_site_label
_atom_site_type_symbol
_atom_site_fract_x
_atom_site_fract_y
_atom_site_fract_z
Sr1 Sr 0.144 0.250 0.250
Sr2 Sr 0.353 0.606 0.099
Sn1 Sn 0.134 0.250 0.000
Sn2 Sn 0.343 0.597 0.750
Pt1 Pt 0.118 0.533 0.589

***

Entry 12:
# Sr2Sn5Pt3 (PBE, optimized geometry)
# DOS(E_F) (states/eV per atom): 0.34
# Energy (eV/atom): -4.8725
# Energy relative to the lowest polymorph listed for this composition (meV/atom): 0
# M_tot (μB/f.u.): 0.0
# Energy of formation from the pure elements (meV per atom): -723
data_Sr2Sn5Pt3
_chemical_formula_sum 'Sr8 Sn20 Pt12'
_space_group_name_H-M_alt 'C m c 21'
_space_group_IT_number 36
_space_group_name_Hall 'C 2c -2'
_cell_length_a 4.620
_cell_length_b 27.230
_cell_length_c 7.518
_cell_angle_alpha 90.00
_cell_angle_beta 90.00
_cell_angle_gamma 90.00
loop_
_atom_site_label
_atom_site_type_symbol
_atom_site_fract_x
_atom_site_fract_y
_atom_site_fract_z
Sr1 Sr 0.000 0.023 0.000
Sr2 Sr 0.000 0.326 0.024
Sn1 Sn 0.000 0.098 0.372
Sn2 Sn 0.000 0.205 0.823
Sn3 Sn 0.000 0.209 0.239
Sn4 Sn 0.000 0.380 0.495
Sn5 Sn 0.000 0.450 0.166
Pt1 Pt 0.000 0.108 0.738
Pt2 Pt 0.000 0.278 0.532
Pt3 Pt 0.000 0.448 0.789

***

Entry 13:
# Sr5SnPt2 (PBE, optimized geometry)
# DOS(E_F) (states/eV per atom): 0.43
# Energy (eV/atom): -3.7870
# M_tot (μB/f.u.): 0.0
# Energy of formation from the pure elements (meV per atom): -725
data_Sr5SnPt2
_chemical_formula_sum 'Sr20 Sn4 Pt8'
_space_group_name_H-M_alt 'I 4/m c m'
_space_group_IT_number 140
_space_group_name_Hall '-I 4 2c'
_cell_length_a 8.298
_cell_length_b 8.298
_cell_length_c 15.374
_cell_angle_alpha 90.00
_cell_angle_beta 90.00
_cell_angle_gamma 90.00
loop_
_atom_site_label
_atom_site_type_symbol
_atom_site_fract_x
_atom_site_fract_y
_atom_site_fract_z
Sr1 Sr 0.000 0.000 0.000
Sr2 Sr 0.171 0.329 0.134
Sn1 Sn 0.000 0.000 0.250
Pt1 Pt 0.121 0.379 0.500

***

Entry 14:
# SrSnPt3 (PBE, optimized geometry)
# DOS(E_F) (states/eV per atom): 0.50
# Energy (eV/atom): -5.3381
# Energy relative to the lowest polymorph listed for this composition (meV/atom): 0
# M_tot (μB/f.u.): 0.0
# Energy of formation from the pure elements (meV per atom): -577
data_SrSnPt3
_chemical_formula_sum 'Sr2 Sn2 Pt6'
_space_group_name_H-M_alt 'P 63/m m c'
_space_group_IT_number 194
_space_group_name_Hall '-P 6c 2c'
_cell_length_a 6.3018
_cell_length_b 6.3018
_cell_length_c 6.5917
_cell_angle_alpha 90.00
_cell_angle_beta 90.00
_cell_angle_gamma 120.00
loop_
_atom_site_label
_atom_site_type_symbol
_atom_site_fract_x
_atom_site_fract_y
_atom_site_fract_z
Sr1 Sr 0.3333 0.6667 0.2500
Sn1 Sn 0.0000 0.0000 0.0000
Pt1 Pt 0.1926 0.3852 0.7500

***

Entry 15:
# SrSn3Pt2 (PBE, optimized geometry)
# DOS(E_F) (states/eV per atom): 0.41
# Energy (eV/atom): -4.9318
# M_tot (μB/f.u.): 0.0
# Energy of formation from the pure elements (meV per atom): -636
data_SrSn3Pt2
_chemical_formula_sum 'Sr6 Sn18 Pt12'
_space_group_name_H-M_alt 'C 1 2/m 1'
_space_group_IT_number 12
_space_group_name_Hall '-C 2y'
_cell_length_a 17.963
_cell_length_b 4.485
_cell_length_c 11.334
_cell_angle_alpha 90.00
_cell_angle_beta 108.86
_cell_angle_gamma 90.00
loop_
_atom_site_label
_atom_site_type_symbol
_atom_site_fract_x
_atom_site_fract_y
_atom_site_fract_z
Sr1 Sr 0.000 0.000 0.000
Sr2 Sr 0.159 0.000 0.701
Sn1 Sn 0.000 0.500 0.500
Sn2 Sn 0.035 0.000 0.343
Sn3 Sn 0.124 0.500 0.188
Sn4 Sn 0.174 0.500 0.954
Sn5 Sn 0.217 0.000 0.384
Pt1 Pt 0.026 0.500 0.789
Pt2 Pt 0.140 0.500 0.442
Pt3 Pt 0.197 0.000 0.126

***

Entry 16:
# Sr2Sn3Pt (PBE, optimized geometry)
# DOS(E_F) (states/eV per atom): 0.54
# Energy (eV/atom): -4.2230
# Energy relative to the lowest polymorph listed for this composition (meV/atom): 19
# M_tot (μB/f.u.): 0.0
# Energy of formation from the pure elements (meV per atom): -654
data_Sr2Sn3Pt
_chemical_formula_sum 'Sr2 Sn3 Pt1'
_space_group_name_H-M_alt 'P m m 2'
_space_group_IT_number 25
_space_group_name_Hall 'P 2 -2'
_cell_length_a 4.689
_cell_length_b 4.721
_cell_length_c 8.268
_cell_angle_alpha 90.00
_cell_angle_beta 90.00
_cell_angle_gamma 90.00
loop_
_atom_site_label
_atom_site_type_symbol
_atom_site_fract_x
_atom_site_fract_y
_atom_site_fract_z
Sr1 Sr 0.000 0.000 0.000
Sr2 Sr 0.000 0.500 0.459
Sn1 Sn 0.500 0.000 0.615
Sn2 Sn 0.500 0.500 0.158
Sn3 Sn 0.500 0.500 0.813
Pt1 Pt 0.500 0.000 0.297

***

Entry 17:
# SrSn8Pt2 (PBE, optimized geometry)
# DOS(E_F) (states/eV per atom): 0.60
# Energy (eV/atom): -4.4554
# Energy relative to the lowest polymorph listed for this composition (meV/atom): 0
# M_tot (μB/f.u.): 0.0
# Energy of formation from the pure elements (meV per atom): -293
data_SrSn8Pt2
_chemical_formula_sum 'Sr2 Sn16 Pt4'
_space_group_name_H-M_alt 'C 1 2/m 1'
_space_group_IT_number 12
_space_group_name_Hall '-C 2y'
_cell_length_a 8.784
_cell_length_b 13.549
_cell_length_c 4.952
_cell_angle_alpha 90.00
_cell_angle_beta 97.34
_cell_angle_gamma 90.00
loop_
_atom_site_label
_atom_site_type_symbol
_atom_site_fract_x
_atom_site_fract_y
_atom_site_fract_z
Sr1 Sr 0.000 0.000 0.000
Sn1 Sn 0.000 0.251 0.000
Sn2 Sn 0.111 0.500 0.801
Sn3 Sn 0.199 0.141 0.593
Pt1 Pt 0.000 0.333 0.500

***

Entry 18:
# SrSn2Pt (PBE, optimized geometry)
# DOS(E_F) (states/eV per atom): 0.52
# Energy (eV/atom): -4.6729
# M_tot (μB/f.u.): 0.0
# Energy of formation from the pure elements (meV per atom): -741
data_SrSn2Pt
_chemical_formula_sum 'Sr8 Sn16 Pt8'
_space_group_name_H-M_alt 'I m m m'
_space_group_IT_number 71
_space_group_name_Hall '-I 2 2'
_cell_length_a 4.808
_cell_length_b 9.755
_cell_length_c 17.723
_cell_angle_alpha 90.00
_cell_angle_beta 90.00
_cell_angle_gamma 90.00
loop_
_atom_site_label
_atom_site_type_symbol
_atom_site_fract_x
_atom_site_fract_y
_atom_site_fract_z
Sr1 Sr 0.000 0.000 0.205
Sr2 Sr 0.000 0.242 0.000
Sn1 Sn 0.000 0.000 0.415
Sn2 Sn 0.000 0.344 0.197
Sn3 Sn 0.000 0.500 0.421
Pt1 Pt 0.000 0.254 0.350

***

Entry 19:
# SrSn2Pt (PBE, optimized geometry)
# DOS(E_F) (states/eV per atom): 0.32
# Energy (eV/atom): -4.6229
# M_tot (μB/f.u.): 0.0
# Energy of formation from the pure elements (meV per atom): -691
data_SrSn2Pt
_chemical_formula_sum 'Sr3 Sn6 Pt3'
_space_group_name_H-M_alt 'R -3 m'
_space_group_IT_number 166
_space_group_name_Hall '-R 3 2"'
_cell_length_a 4.5126
_cell_length_b 4.5126
_cell_length_c 18.3224
_cell_angle_alpha 90.00
_cell_angle_beta 90.00
_cell_angle_gamma 120.00
loop_
_atom_site_label
_atom_site_type_symbol
_atom_site_fract_x
_atom_site_fract_y
_atom_site_fract_z
Sr1 Sr 0.0000 0.0000 0.0000
Sn1 Sn 0.0000 0.0000 0.2181
Pt1 Pt 0.0000 0.0000 0.5000